Crystalline NaCrAg2F8 at its relaxed geometry, computed with PBE with a Hubbard U.

Cell: 5.4946 5.4946 6.7137 Å, 90.00 90.00 120.00°
Space group P-3m1 (No. 164)
Asymmetric unit:
Na 0.0000 0.0000 0.0000 [1 per cell]
Cr 0.0000 0.0000 0.5000 [1 per cell]
Ag 0.3333 0.6667 0.3645 [2 per cell]
F 0.1622 0.3243 0.6634 [6 per cell]
F 0.3333 0.6667 0.0643 [2 per cell]

Results
Raw total energy ... -4.197 eV/atom
Crystal system ... trigonal

=====

Crystalline Na2CrAgF6 at its relaxed geometry, computed with PBE with a Hubbard U.

Cell: 8.573 8.573 8.573 Å, 90.00 90.00 90.00°
Space group Fm-3m (No. 225)
Asymmetric unit:
Na 0.250 0.250 0.250 [8 per cell]
Cr 0.000 0.000 0.000 [4 per cell]
Ag 0.000 0.000 0.500 [4 per cell]
F 0.000 0.000 0.226 [24 per cell]

Results
Crystal system ... cubic
Excess energy over the best structure of this formula in the dataset ... 0.129 eV/atom

=====

Crystalline CrNiAg2F6 at its relaxed geometry, computed with PBE with a Hubbard U.

Cell: 5.671 8.500 5.667 Å, 90.00 90.00 90.00°
Space group Pmmn (No. 59, origin choice 2)
Asymmetric unit:
Cr 0.250 0.250 0.249 [2 per cell]
Ni 0.250 0.750 0.251 [2 per cell]
Ag 0.250 0.000 0.749 [4 per cell]
F 0.000 0.250 0.498 [4 per cell]
F 0.001 0.250 0.998 [4 per cell]
F 0.250 0.515 0.251 [4 per cell]

Results
Raw total energy ... -4.465 eV/atom
Crystal system ... orthorhombic

=====

Crystalline CrAg2PbF6 at its relaxed geometry, computed with PBE with a Hubbard U.

Cell: 5.955 6.056 10.529 Å, 90.00 121.16 90.00°
Space group P2_1/c (No. 14)
Asymmetric unit:
Cr 0.000 0.000 0.000 [2 per cell]
Ag 0.226 0.055 0.744 [4 per cell]
Pb 0.500 0.000 0.500 [2 per cell]
F 0.098 0.221 0.430 [4 per cell]
F 0.198 0.682 0.425 [4 per cell]
F 0.377 0.073 0.242 [4 per cell]

Results
Raw total energy ... -4.675 eV/atom
Crystal system ... monoclinic

=====

Crystalline CrAgPdF6 at its relaxed geometry, computed with PBE with a Hubbard U.

Cell: 5.6755 5.6755 8.9381 Å, 90.00 90.00 120.00°
Space group P-31c (No. 163)
Asymmetric unit:
Cr 0.3333 0.6667 0.2500 [2 per cell]
Ag 0.3333 0.6667 0.7500 [2 per cell]
Pd 0.0000 0.0000 0.0000 [2 per cell]
F 0.0596 0.3709 0.1257 [12 per cell]

Results
Raw total energy ... -4.732 eV/atom
Crystal system ... trigonal

=====

Crystalline CrAgPtF2 at its relaxed geometry, computed with PBE with a Hubbard U.

Cell: 4.202 4.202 5.394 Å, 90.00 90.00 90.00°
Space group P4/mmm (No. 123)
Asymmetric unit:
Cr 0.000 0.000 0.000 [1 per cell]
Ag 0.500 0.500 0.000 [1 per cell]
Pt 0.500 0.500 0.500 [1 per cell]
F 0.000 0.500 0.500 [2 per cell]

Results
Raw total energy ... -4.238 eV/atom
Crystal system ... tetragonal

=====

Crystalline Cr2AgPtF at its relaxed geometry, computed with PBE with a Hubbard U.

Cell: 5.197 5.197 4.888 Å, 90.00 90.00 90.00°
Space group P4/mmm (No. 123)
Asymmetric unit:
Cr 0.000 0.500 0.000 [2 per cell]
Ag 0.000 0.000 0.000 [1 per cell]
Pt 0.000 0.000 0.500 [1 per cell]
F 0.500 0.500 0.500 [1 per cell]

Results
Raw total energy ... -4.336 eV/atom
Crystal system ... tetragonal

=====

Crystalline PuCrAgF6 at its relaxed geometry, computed with PBE with a Hubbard U.

Cell: 6.0180 6.0180 9.5790 Å, 90.00 90.00 120.00°
Space group P-31c (No. 163)
Asymmetric unit:
Pu 0.3333 0.6667 0.2500 [2 per cell]
Cr 0.3333 0.6667 0.7500 [2 per cell]
Ag 0.0000 0.0000 0.0000 [2 per cell]
F 0.0285 0.3750 0.6360 [12 per cell]

Results
Raw total energy ... -6.511 eV/atom
Crystal system ... trigonal

=====

Crystalline RbCrAg2F6 at its relaxed geometry, computed with PBE with a Hubbard U.

Cell: 6.073 6.446 10.410 Å, 90.00 125.20 90.00°
Space group P2_1/c (No. 14)
Asymmetric unit:
Rb 0.000 0.000 0.000 [2 per cell]
Cr 0.500 0.000 0.500 [2 per cell]
Ag 0.226 0.018 0.729 [4 per cell]
F 0.205 0.141 0.487 [4 per cell]
F 0.240 0.718 0.866 [4 per cell]
F 0.428 0.148 0.314 [4 per cell]

Results
Raw total energy ... -4.624 eV/atom
Crystal system ... monoclinic

=====

Crystalline RbCrAgF6 at its relaxed geometry, computed with PBE with a Hubbard U.

Cell: 5.366 5.936 5.962 Å, 119.67 90.25 90.04°
Space group P1 (No. 1)
Asymmetric unit:
Rb 0.000 0.000 0.000 [1 per cell]
Cr 0.472 0.333 0.667 [1 per cell]
Ag 0.505 0.667 0.332 [1 per cell]
F 0.268 0.063 0.431 [1 per cell]
F 0.275 0.369 0.942 [1 per cell]
F 0.276 0.575 0.634 [1 per cell]
F 0.666 0.078 0.683 [1 per cell]
F 0.668 0.315 0.401 [1 per cell]
F 0.673 0.597 0.917 [1 per cell]

Results
Raw total energy ... -4.745 eV/atom
Crystal system ... triclinic

=====

no.,size of the total moment (μB per formula unit)
1,4.03
2,2.93
3,5.88
4,4.00
5,1.11
6,5.03
7,9.30
8,1.27
9,2.92
10,1.90